The following is a PBE-GGA calculation of a relaxed structure of Ba2In13Ir4, from OQMD.

Cell lengths 14.847, 14.847, 13.837 Å; angles 90.00, 90.00, 162.49 degrees
Atoms (fractional coordinates):
Ir  0.691  0.309  0.606
Ir  0.315  0.685  0.735
Ir  0.418  0.582  0.798
Ir  0.685  0.315  0.235
Ir  0.589  0.411  0.918
Ir  0.309  0.691  0.106
Ir  0.582  0.418  0.298
Ir  0.411  0.589  0.418
Ba  0.252  0.748  0.429
Ba  0.460  0.540  0.106
Ba  0.540  0.460  0.606
Ba  0.748  0.252  0.929
In  0.615  0.385  0.105
In  0.215  0.785  0.122
In  0.225  0.775  0.712
In  0.140  0.860  0.272
In  0.964  0.036  0.713
In  0.647  0.353  0.770
In  0.955  0.045  0.503
In  0.863  0.137  0.092
In  0.928  0.072  0.285
In  0.860  0.140  0.772
In  0.344  0.656  0.928
In  0.353  0.647  0.270
In  0.151  0.849  0.942
In  0.785  0.215  0.622
In  0.497  0.503  0.359
In  0.137  0.863  0.592
In  0.068  0.932  0.429
In  0.656  0.344  0.428
In  0.775  0.225  0.212
In  0.072  0.928  0.785
In  0.932  0.068  0.929
In  0.849  0.151  0.442
In  0.503  0.497  0.859
In  0.036  0.964  0.213
In  0.385  0.615  0.605
In  0.045  0.955  0.003

Summary:
Total DFT energy (no corrections): -80.5 eV/f.u.